Record 1
# HoMnP2

A relaxed HoMnP2 crystal (PBE-GGA, Alexandria).

a = 3.9019 Å, b = 3.9019 Å, c = 14.1335 Å
α = 90.00°, β = 90.00°, γ = 120.00°
With the nearest neighbours (Å) after each atom.
Space group R-3m (No. 166, hexagonal axes)
Asymmetric unit:
Ho 0.0000 0.0000 0.0000 x3  8 P 2.83-3.01
Mn 0.0000 0.0000 0.5000 x3  6 P 2.34
P 0.0000 0.0000 0.2127 x6  3 Mn 2.34, 3 P 2.60

Properties
DFT total energy	-83.66	eV for the cell shown
volume	15.53	Å³ per atom

Record 2
# HoMnP

A relaxed HoMnP crystal (PBE-GGA, Alexandria).

a = 3.7687 Å, b = 3.7687 Å, c = 7.0331 Å
α = 90.00°, β = 90.00°, γ = 90.00°
With the nearest neighbours (Å) after each atom.
Space group P4/nmm (No. 129, origin choice 2)
Asymmetric unit:
Ho 0.2500 0.2500 0.1627 x2  4 P 2.83, 4 Mn 3.03
Mn 0.2500 0.7500 0.5000 x2  4 P 2.35
P 0.2500 0.2500 0.7002 x2  4 Mn 2.35

Properties
DFT total energy	-43.84	eV for the cell shown
volume	16.65	Å³ per atom

Record 3
# HoMn9P4

A relaxed HoMn9P4 crystal (PBE-GGA, Alexandria).

a = 7.5915 Å, b = 7.5915 Å, c = 11.6574 Å
α = 90.00°, β = 90.00°, γ = 90.00°
With the nearest neighbours (Å) after each atom.
Space group I4/mcm (No. 140)
Asymmetric unit:
Ho 0.0000 0.0000 0.2500 x4  16 Mn 3.08-3.29, 8 P 3.16
Mn 0.0000 0.5000 0.0000 x4  4 P 2.33, 8 Mn 2.42-2.51
Mn 0.0664 0.1886 0.0000 x16  2 Mn 2.15
Mn 0.1325 0.3675 0.1772 x16  4 P 2.25-2.33, 1 Mn 2.51
P 0.1644 0.3356 0.3696 x16  5 Mn 2.25-2.33

Properties
DFT total energy	-460.65	eV for the cell shown
volume	12.00	Å³ per atom

Record 4
# HoMnTcP2

A relaxed HoMnTcP2 crystal (PBE-GGA, Alexandria).

a = 3.9932 Å, b = 3.9932 Å, c = 9.6513 Å
α = 90.00°, β = 90.00°, γ = 90.00°
With the nearest neighbours (Å) after each atom.
Space group I-4m2 (No. 119)
Asymmetric unit:
Ho 0.0000 0.0000 0.0000 x2  8 P 3.08, 4 Mn 3.13, 4 Tc 3.13
Mn 0.0000 0.5000 0.7500 x2  4 P 2.32
Tc 0.0000 0.5000 0.2500 x2  4 P 2.32
P 0.0000 0.0000 0.3725 x4  2 Mn 2.32, 2 Tc 2.32, 1 P 2.46

Properties
DFT total energy	-78.71	eV for the cell shown
volume	15.39	Å³ per atom